1.
{"formula": "Pr12HoSc3", "functional": "PBE", "state": "optimized geometry", "dft_energy_ev_per_atom": -5.026, "dos_ef_per_ev_atom": 1.31, "total_magnetization_mub_per_fu": 0.00, "e_form_kj_per_mol_atoms": 3, "lattice_angstrom": [[5.1089, 0.0000, 0.0000], [0.0000, 5.1089, 0.0000], [0.0000, 0.0000, 20.4468]], "species": ["Pr", "Pr", "Pr", "Pr", "Pr", "Pr", "Pr", "Pr", "Pr", "Pr", "Pr", "Pr", "Ho", "Sc", "Sc", "Sc"], "frac_coords": [[0.0000, 0.0000, 0.0000], [0.0000, 0.0000, 0.2480], [0.0000, 0.0000, 0.5000], [0.0000, 0.0000, 0.7520], [0.0000, 0.5000, 0.1239], [0.0000, 0.5000, 0.3718], [0.0000, 0.5000, 0.6282], [0.0000, 0.5000, 0.8761], [0.5000, 0.0000, 0.1239], [0.5000, 0.0000, 0.3718], [0.5000, 0.0000, 0.6282], [0.5000, 0.0000, 0.8761], [0.5000, 0.5000, 0.5000], [0.5000, 0.5000, 0.0000], [0.5000, 0.5000, 0.2481], [0.5000, 0.5000, 0.7519]]}


2.
{"formula": "Tb7SmHo2", "functional": "PBE", "state": "optimized geometry", "dft_energy_ev_per_atom": -3.938, "polymorph_energy_ev_per_fu": 6.73, "dos_ef_per_ev_atom": 1.46, "total_magnetization_mub_per_fu": 0.00, "e_form_kj_per_mol_atoms": 67, "lattice_angstrom": [[4.3693, -8.0852, 0.0000], [4.3693, 8.0852, 0.0000], [0.0000, 0.0000, 5.5951]], "species": ["Tb", "Tb", "Tb", "Tb", "Tb", "Tb", "Tb", "Sm", "Ho", "Ho"], "frac_coords": [[0.0000, 0.0000, 0.0000], [0.2086, 0.4372, 0.0000], [0.2842, 0.7158, 0.5000], [0.4372, 0.2086, 0.0000], [0.5628, 0.7914, 0.0000], [0.7158, 0.2842, 0.5000], [0.7914, 0.5628, 0.0000], [0.5000, 0.5000, 0.5000], [0.2037, 0.7963, 0.0000], [0.7963, 0.2037, 0.0000]]}


3.
{"formula": "Y2TlPb", "functional": "PBE", "state": "optimized geometry", "dft_energy_ev_per_atom": -4.824, "dos_ef_per_ev_atom": 0.99, "total_magnetization_mub_per_fu": 0.00, "e_form_kj_per_mol_atoms": -7, "lattice_angstrom": [[1.7920, 1.0346, 11.0517], [-1.7920, 1.0346, 11.0517], [0.0000, -2.0693, 11.0517]], "species": ["Y", "Y", "Tl", "Pb"], "frac_coords": [[0.0000, 0.0000, 0.0000], [0.2490, 0.2490, 0.2490], [0.5004, 0.5004, 0.5004], [0.7505, 0.7505, 0.7505]]}


What did the second record say?
{"formula": "Tb7SmHo2", "functional": "PBE", "state": "optimized geometry", "dft_energy_ev_per_atom": -3.938, "polymorph_energy_ev_per_fu": 6.73, "dos_ef_per_ev_atom": 1.46, "total_magnetization_mub_per_fu": 0.00, "e_form_kj_per_mol_atoms": 67, "lattice_angstrom": [[4.3693, -8.0852, 0.0000], [4.3693, 8.0852, 0.0000], [0.0000, 0.0000, 5.5951]], "species": ["Tb", "Tb", "Tb", "Tb", "Tb", "Tb", "Tb", "Sm", "Ho", "Ho"], "frac_coords": [[0.0000, 0.0000, 0.0000], [0.2086, 0.4372, 0.0000], [0.2842, 0.7158, 0.5000], [0.4372, 0.2086, 0.0000], [0.5628, 0.7914, 0.0000], [0.7158, 0.2842, 0.5000], [0.7914, 0.5628, 0.0000], [0.5000, 0.5000, 0.5000], [0.2037, 0.7963, 0.0000], [0.7963, 0.2037, 0.0000]]}


What did the first record say?
{"formula": "Pr12HoSc3", "functional": "PBE", "state": "optimized geometry", "dft_energy_ev_per_atom": -5.026, "dos_ef_per_ev_atom": 1.31, "total_magnetization_mub_per_fu": 0.00, "e_form_kj_per_mol_atoms": 3, "lattice_angstrom": [[5.1089, 0.0000, 0.0000], [0.0000, 5.1089, 0.0000], [0.0000, 0.0000, 20.4468]], "species": ["Pr", "Pr", "Pr", "Pr", "Pr", "Pr", "Pr", "Pr", "Pr", "Pr", "Pr", "Pr", "Ho", "Sc", "Sc", "Sc"], "frac_coords": [[0.0000, 0.0000, 0.0000], [0.0000, 0.0000, 0.2480], [0.0000, 0.0000, 0.5000], [0.0000, 0.0000, 0.7520], [0.0000, 0.5000, 0.1239], [0.0000, 0.5000, 0.3718], [0.0000, 0.5000, 0.6282], [0.0000, 0.5000, 0.8761], [0.5000, 0.0000, 0.1239], [0.5000, 0.0000, 0.3718], [0.5000, 0.0000, 0.6282], [0.5000, 0.0000, 0.8761], [0.5000, 0.5000, 0.5000], [0.5000, 0.5000, 0.0000], [0.5000, 0.5000, 0.2481], [0.5000, 0.5000, 0.7519]]}